Record 1
Crystalline NaMg2ClO at its relaxed geometry. Source: Alexandria via LeMat-Bulk, functional PBE.

Geometry as CIF:
```
data_NaMg2ClO
_space_group_name_H-M_alt 'P 1'
_space_group_IT_number 1
_cell_length_a 5.460
_cell_length_b 5.460
_cell_length_c 3.997
_cell_angle_alpha 90.00
_cell_angle_beta 90.00
_cell_angle_gamma 90.00
loop_
_space_group_symop_operation_xyz
'x,y,z'
loop_
_atom_site_label
_atom_site_type_symbol
_atom_site_fract_x
_atom_site_fract_y
_atom_site_fract_z
_atom_site_occupancy
Na1 Na 0.000 0.000 0.000 1
Mg1 Mg 0.000 0.500 0.000 1
Mg2 Mg 0.500 0.000 0.000 1
Cl1 Cl 0.500 0.500 0.500 1
O1 O 0.000 0.000 0.500 1
```

Values from the calculation:
ΔE_f (raw): -14 meV per atom
energy: -2.276 eV/atom
density: 1.7 g cm⁻³
symmetry: P4/mmm
total magnetization: 0.00 μB/cell



Record 2
Crystalline LiBe3Cl at its relaxed geometry. Source: Alexandria via LeMat-Bulk, functional PBE.

Geometry as CIF:
```
data_LiBe3Cl
_space_group_name_H-M_alt 'P 1'
_space_group_IT_number 1
_cell_length_a 4.372
_cell_length_b 4.372
_cell_length_c 4.372
_cell_angle_alpha 90.00
_cell_angle_beta 90.00
_cell_angle_gamma 90.00
loop_
_space_group_symop_operation_xyz
'x,y,z'
loop_
_atom_site_label
_atom_site_type_symbol
_atom_site_fract_x
_atom_site_fract_y
_atom_site_fract_z
_atom_site_occupancy
Li1 Li 0.000 0.000 0.000 1
Be1 Be 0.000 0.000 0.500 1
Be2 Be 0.000 0.500 0.000 1
Be3 Be 0.500 0.000 0.000 1
Cl1 Cl 0.500 0.500 0.500 1
```

Values from the calculation:
ΔE_f (raw): 1247 meV per atom
energy: -1.741 eV/atom
energy above the lowest structure with this stoichiometry: 80 meV/atom
density: 1.4 g cm⁻³
symmetry: Pm-3m
total magnetization: 0.00 μB/cell



Record 3
Crystalline BaCaLa2Au at its relaxed geometry. Source: Alexandria via LeMat-Bulk, functional PBE.

Geometry as CIF:
```
data_BaCaLa2Au
_space_group_name_H-M_alt 'P 1'
_space_group_IT_number 1
_cell_length_a 5.962
_cell_length_b 5.962
_cell_length_c 5.948
_cell_angle_alpha 90.00
_cell_angle_beta 90.00
_cell_angle_gamma 90.00
loop_
_space_group_symop_operation_xyz
'x,y,z'
loop_
_atom_site_label
_atom_site_type_symbol
_atom_site_fract_x
_atom_site_fract_y
_atom_site_fract_z
_atom_site_occupancy
Ba1 Ba 0.000 0.000 0.000 1
Ca1 Ca 0.500 0.500 0.000 1
La1 La 0.000 0.500 0.500 1
La2 La 0.500 0.000 0.500 1
Au1 Au 0.500 0.500 0.500 1
```

Values from the calculation:
energy: -3.616 eV/atom
energy relative to the elements: -0.20 eV/atom
density: 5.1 g cm⁻³
symmetry: P4/mmm
total magnetization: 0.00 μB/cell



Record 4
Crystalline Ca2CdHg5Pb at its relaxed geometry. Source: Alexandria via LeMat-Bulk, functional PBE.

Geometry as CIF:
```
data_Ca2CdHg5Pb
_space_group_name_H-M_alt 'P 1'
_space_group_IT_number 1
_cell_length_a 9.023
_cell_length_b 9.023
_cell_length_c 9.023
_cell_angle_alpha 119.75
_cell_angle_beta 119.75
_cell_angle_gamma 90.44
loop_
_space_group_symop_operation_xyz
'x,y,z'
loop_
_atom_site_label
_atom_site_type_symbol
_atom_site_fract_x
_atom_site_fract_y
_atom_site_fract_z
_atom_site_occupancy
Ca1 Ca 0.128 0.628 0.755 1
Ca2 Ca 0.372 0.128 0.500 1
Ca3 Ca 0.628 0.872 0.500 1
Ca4 Ca 0.872 0.372 0.245 1
Cd1 Cd 0.250 0.750 0.500 1
Cd2 Cd 0.750 0.250 0.500 1
Hg1 Hg 0.000 0.000 0.000 1
Hg2 Hg 0.046 0.168 0.500 1
Hg3 Hg 0.168 0.668 0.122 1
Hg4 Hg 0.332 0.454 0.500 1
Hg5 Hg 0.454 0.954 0.122 1
Hg6 Hg 0.500 0.500 0.000 1
Hg7 Hg 0.546 0.046 0.878 1
Hg8 Hg 0.668 0.546 0.500 1
Hg9 Hg 0.832 0.332 0.878 1
Hg10 Hg 0.954 0.832 0.500 1
Pb1 Pb 0.250 0.250 0.000 1
Pb2 Pb 0.750 0.750 0.000 1
```

Values from the calculation:
energy: -1.289 eV/atom
energy relative to the elements: -0.16 eV/atom
density: 8.9 g cm⁻³
symmetry: I4/mcm
total magnetization: 0.00 μB/cell



Record 5
Crystalline Mn2CdPbCl8 at its relaxed geometry. Source: Alexandria via LeMat-Bulk, functional PBE.

Geometry as CIF:
```
data_Mn2CdPbCl8
_space_group_name_H-M_alt 'P 1'
_space_group_IT_number 1
_cell_length_a 6.140
_cell_length_b 7.910
_cell_length_c 6.427
_cell_angle_alpha 90.00
_cell_angle_beta 90.62
_cell_angle_gamma 90.00
loop_
_space_group_symop_operation_xyz
'x,y,z'
loop_
_atom_site_label
_atom_site_type_symbol
_atom_site_fract_x
_atom_site_fract_y
_atom_site_fract_z
_atom_site_occupancy
Mn1 Mn 0.000 0.242 0.000 1
Mn2 Mn 0.000 0.758 0.000 1
Cd1 Cd 0.500 0.000 0.500 1
Pb1 Pb 0.500 0.500 0.500 1
Cl1 Cl 0.208 0.500 0.855 1
Cl2 Cl 0.220 0.000 0.840 1
Cl3 Cl 0.252 0.231 0.319 1
Cl4 Cl 0.252 0.769 0.319 1
Cl5 Cl 0.748 0.231 0.681 1
Cl6 Cl 0.748 0.769 0.681 1
Cl7 Cl 0.780 0.000 0.160 1
Cl8 Cl 0.792 0.500 0.145 1
```

Values from the calculation:
ΔE_f (raw): -1058 meV per atom
energy: -4.203 eV/atom
density: 3.8 g cm⁻³
symmetry: P2/m
total magnetization: 10.00 μB/cell



Record 6
Crystalline Ce2Pm3DySe6 at its relaxed geometry. Source: Alexandria via LeMat-Bulk, functional PBE.

Geometry as CIF:
```
data_Ce2Pm3DySe6
_space_group_name_H-M_alt 'P 1'
_space_group_IT_number 1
_cell_length_a 7.232
_cell_length_b 7.232
_cell_length_c 7.249
_cell_angle_alpha 99.59
_cell_angle_beta 99.59
_cell_angle_gamma 120.09
loop_
_space_group_symop_operation_xyz
'x,y,z'
loop_
_atom_site_label
_atom_site_type_symbol
_atom_site_fract_x
_atom_site_fract_y
_atom_site_fract_z
_atom_site_occupancy
Ce1 Ce 0.166 0.834 0.000 1
Ce2 Ce 0.834 0.166 0.000 1
Pm1 Pm 0.000 0.000 0.500 1
Pm2 Pm 0.332 0.668 0.500 1
Pm3 Pm 0.668 0.332 0.500 1
Dy1 Dy 0.500 0.500 0.000 1
Se1 Se 0.090 0.418 0.754 1
Se2 Se 0.255 0.255 0.248 1
Se3 Se 0.418 0.090 0.754 1
Se4 Se 0.582 0.910 0.246 1
Se5 Se 0.745 0.745 0.752 1
Se6 Se 0.910 0.582 0.246 1
```

Values from the calculation:
ΔE_f (raw): -1821 meV per atom
energy: -6.124 eV/atom
density: 7.3 g cm⁻³
symmetry: C2/m
total magnetization: 1.83 μB/cell



Record 7
Crystalline TbTiTlO4 at its relaxed geometry. Source: Alexandria via LeMat-Bulk, functional PBE.

Geometry as CIF:
```
data_TbTiTlO4
_space_group_name_H-M_alt 'P 1'
_space_group_IT_number 1
_cell_length_a 6.035
_cell_length_b 6.055
_cell_length_c 7.581
_cell_angle_alpha 90.00
_cell_angle_beta 107.13
_cell_angle_gamma 90.00
loop_
_space_group_symop_operation_xyz
'x,y,z'
loop_
_atom_site_label
_atom_site_type_symbol
_atom_site_fract_x
_atom_site_fract_y
_atom_site_fract_z
_atom_site_occupancy
Tb1 Tb 0.187 0.250 0.051 1
Tb2 Tb 0.813 0.750 0.949 1
Ti1 Ti 0.279 0.750 0.846 1
Ti2 Ti 0.721 0.250 0.154 1
Tl1 Tl 0.313 0.250 0.585 1
Tl2 Tl 0.687 0.750 0.415 1
O1 O 0.068 0.524 0.841 1
O2 O 0.068 0.976 0.841 1
O3 O 0.479 0.750 0.705 1
O4 O 0.491 0.750 0.068 1
O5 O 0.509 0.250 0.932 1
O6 O 0.521 0.250 0.295 1
O7 O 0.932 0.024 0.159 1
O8 O 0.932 0.476 0.159 1
```

Values from the calculation:
ΔE_f (raw): -2669 meV per atom
energy: -7.630 eV/atom
density: 6.0 g cm⁻³
symmetry: P2_1/m
total magnetization: 0.00 μB/cell



Record 8
Crystalline Rb3AsSe4 at its relaxed geometry. Source: Alexandria via LeMat-Bulk, functional PBE.

Geometry as CIF:
```
data_Rb3AsSe4
_space_group_name_H-M_alt 'P 1'
_space_group_IT_number 1
_cell_length_a 9.822
_cell_length_b 11.485
_cell_length_c 10.399
_cell_angle_alpha 90.00
_cell_angle_beta 90.00
_cell_angle_gamma 90.00
loop_
_space_group_symop_operation_xyz
'x,y,z'
loop_
_atom_site_label
_atom_site_type_symbol
_atom_site_fract_x
_atom_site_fract_y
_atom_site_fract_z
_atom_site_occupancy
Rb1 Rb 0.061 0.044 0.194 1
Rb2 Rb 0.061 0.456 0.194 1
Rb3 Rb 0.150 0.750 0.420 1
Rb4 Rb 0.350 0.250 0.920 1
Rb5 Rb 0.439 0.544 0.694 1
Rb6 Rb 0.439 0.956 0.694 1
Rb7 Rb 0.561 0.044 0.306 1
Rb8 Rb 0.561 0.456 0.306 1
Rb9 Rb 0.650 0.750 0.080 1
Rb10 Rb 0.850 0.250 0.580 1
Rb11 Rb 0.939 0.544 0.806 1
Rb12 Rb 0.939 0.956 0.806 1
As1 As 0.234 0.750 0.976 1
As2 As 0.266 0.250 0.476 1
As3 As 0.734 0.750 0.524 1
As4 As 0.766 0.250 0.024 1
Se1 Se 0.024 0.750 0.090 1
Se2 Se 0.143 0.079 0.527 1
Se3 Se 0.143 0.421 0.527 1
Se4 Se 0.187 0.750 0.754 1
Se5 Se 0.313 0.250 0.254 1
Se6 Se 0.357 0.579 0.027 1
Se7 Se 0.357 0.921 0.027 1
Se8 Se 0.476 0.250 0.590 1
Se9 Se 0.524 0.750 0.410 1
Se10 Se 0.643 0.079 0.973 1
Se11 Se 0.643 0.421 0.973 1
Se12 Se 0.687 0.750 0.746 1
Se13 Se 0.813 0.250 0.246 1
Se14 Se 0.857 0.579 0.473 1
Se15 Se 0.857 0.921 0.473 1
Se16 Se 0.976 0.250 0.910 1
```

Values from the calculation:
ΔE_f (raw): -830 meV per atom
energy: -3.516 eV/atom
energy above the lowest structure with this stoichiometry: 0 meV/atom
density: 3.7 g cm⁻³
symmetry: Pnma
total magnetization: 0.00 μB/cell



Record 9
Crystalline Ho4Sc3Ni2 at its relaxed geometry. Source: Alexandria via LeMat-Bulk, functional PBE.

Geometry as CIF:
```
data_Ho4Sc3Ni2
_space_group_name_H-M_alt 'P 1'
_space_group_IT_number 1
_cell_length_a 8.192
_cell_length_b 8.192
_cell_length_c 8.593
_cell_angle_alpha 112.76
_cell_angle_beta 112.76
_cell_angle_gamma 24.40
loop_
_space_group_symop_operation_xyz
'x,y,z'
loop_
_atom_site_label
_atom_site_type_symbol
_atom_site_fract_x
_atom_site_fract_y
_atom_site_fract_z
_atom_site_occupancy
Ho1 Ho 0.127 0.127 0.388 1
Ho2 Ho 0.267 0.267 0.842 1
Ho3 Ho 0.733 0.733 0.158 1
Ho4 Ho 0.873 0.873 0.612 1
Sc1 Sc 0.434 0.434 0.314 1
Sc2 Sc 0.500 0.500 0.000 1
Sc3 Sc 0.566 0.566 0.686 1
Ni1 Ni 0.112 0.112 0.933 1
Ni2 Ni 0.888 0.888 0.067 1
```

Values from the calculation:
energy: -5.617 eV/atom
energy relative to the elements: -0.19 eV/atom
density: 6.9 g cm⁻³
symmetry: C2/m
total magnetization: 0.00 μB/cell



Record 10
Crystalline Dy8Er5Mg at its relaxed geometry. Source: Alexandria via LeMat-Bulk, functional PBE.

Geometry as CIF:
```
data_Dy8Er5Mg
_space_group_name_H-M_alt 'P 1'
_space_group_IT_number 1
_cell_length_a 8.367
_cell_length_b 8.367
_cell_length_c 8.367
_cell_angle_alpha 110.49
_cell_angle_beta 110.49
_cell_angle_gamma 107.46
loop_
_space_group_symop_operation_xyz
'x,y,z'
loop_
_atom_site_label
_atom_site_type_symbol
_atom_site_fract_x
_atom_site_fract_y
_atom_site_fract_z
_atom_site_occupancy
Dy1 Dy 0.156 0.427 0.090 1
Dy2 Dy 0.338 0.066 0.910 1
Dy3 Dy 0.418 0.159 0.395 1
Dy4 Dy 0.573 0.662 0.728 1
Dy5 Dy 0.764 0.023 0.605 1
Dy6 Dy 0.841 0.236 0.260 1
Dy7 Dy 0.934 0.844 0.272 1
Dy8 Dy 0.977 0.582 0.740 1
Er1 Er 0.000 0.000 0.000 1
Er2 Er 0.215 0.315 0.689 1
Er3 Er 0.475 0.785 0.101 1
Er4 Er 0.626 0.525 0.311 1
Er5 Er 0.685 0.374 0.899 1
Mg1 Mg 0.250 0.750 0.500 1
```

Values from the calculation:
energy: -4.136 eV/atom
energy relative to the elements: 0.24 eV/atom
density: 8.0 g cm⁻³
symmetry: I-4
total magnetization: 0.00 μB/cell